The following is a PBE with a Hubbard U calculation of a geometry-optimized RbHf2WO8 structure, from Alexandria.

## Properties
- E: -8.078 eV per atom
- V: 168.6 Å³/cell

Geometry as CIF:
```
data_RbHf2WO8
_chemical_formula_sum 'Rb1 Hf2 W1 O8'
_symmetry_space_group_name_H-M 'P 1 2/m 1'
_symmetry_Int_Tables_number 10
_cell_length_a 4.897
_cell_length_b 7.019
_cell_length_c 4.910
_cell_angle_alpha 90.00
_cell_angle_beta 91.89
_cell_angle_gamma 90.00
loop_
_symmetry_equiv_pos_as_xyz
'x,y,z'
'-x,-y,-z'
'-x,y,-z'
'x,-y,z'
loop_
_atom_site_label
_atom_site_type_symbol
_atom_site_fract_x
_atom_site_fract_y
_atom_site_fract_z
_atom_site_occupancy
Rb1 Rb 0.000 0.000 0.000 1
Hf1 Hf 0.500 0.264 0.500 1
W1 W 0.000 0.500 0.000 1
O1 O 0.205 0.311 0.203 1
O2 O 0.290 0.500 0.708 1
O3 O 0.351 0.000 0.643 1
```